VASP calculation (PBE-GGA) on a relaxed structure of Tb3Si4Pt2.

**Calculated volume**: 19.9 A^3/atom
**DOS at the Fermi energy**: 0.51 states/eV/atom
**Raw formation energy**: -9.51 eV/f.u.

abc: 10.849 4.126 8.190
angles: 90.00 101.75 90.00
Space group C2/m (No. 12)
Inequivalent atoms, fractional coordinates:
Tb 0.000 0.000 0.000
Tb 0.166 0.500 0.666
Si 0.053 0.000 0.388
Si 0.226 0.500 0.062
Pt 0.108 0.500 0.277


VASP calculation (PBE-GGA) on a relaxed structure of TbSi4Pt4.

**Calculated volume**: 16.9 A^3/atom
**DOS at the Fermi energy**: 0.35 states/eV/atom
**Raw formation energy**: -6.48 eV/f.u.

abc: 6.192 6.192 7.930
angles: 90.00 90.00 90.00
Space group P4_2/nmc (No. 137, origin choice 2)
Inequivalent atoms, fractional coordinates:
Tb 0.250 0.750 0.250
Si 0.032 0.250 0.068
Pt 0.026 0.250 0.374


VASP calculation (PBE-GGA) on a relaxed structure of Tb2SiPt5.

**Calculated volume**: 18.5 A^3/atom
**DOS at the Fermi energy**: 0.30 states/eV/atom
**Raw formation energy**: -8.02 eV/f.u.

abc: 5.854 5.854 8.630
angles: 90.00 90.00 90.00
Space group I4mm (No. 107)
Inequivalent atoms, fractional coordinates:
Tb 0.000 0.500 0.000
Si 0.000 0.000 0.360
Pt 0.000 0.000 0.996
Pt 0.238 0.238 0.745


VASP calculation (PBE-GGA) on a relaxed structure of Tb2SiPt3.

**Calculated volume**: 20.3 A^3/atom
**DOS at the Fermi energy**: 0.53 states/eV/atom
**Raw formation energy**: -6.80 eV/f.u.

abc: 3.685 4.266 7.745
angles: 90.00 90.00 90.00
Space group Pmm2 (No. 25)
Inequivalent atoms, fractional coordinates:
Tb 0.000 0.000 0.000
Tb 0.000 0.500 0.475
Si 0.500 0.500 0.812
Pt 0.500 0.000 0.331
Pt 0.500 0.000 0.679
Pt 0.500 0.500 0.118


VASP calculation (PBE-GGA) on a relaxed structure of Tb2Si5Pt3.

**Calculated volume**: 17.3 A^3/atom
**DOS at the Fermi energy**: 0.21 states/eV/atom
**Raw formation energy**: -9.80 eV/f.u.

abc: 11.664 11.414 6.055
angles: 90.00 121.12 90.00
Space group C2/c (No. 15)
Inequivalent atoms, fractional coordinates:
Tb 0.230 0.129 0.229
Si 0.000 0.000 0.250
Si 0.000 0.272 0.250
Si 0.000 0.272 0.750
Si 0.151 0.387 0.151
Pt 0.000 0.500 0.250
Pt 0.113 0.137 0.612


VASP calculation (PBE-GGA) on a relaxed structure of TbSi3Pt6.

**Calculated volume**: 17.0 A^3/atom
**DOS at the Fermi energy**: 0.40 states/eV/atom
**Raw formation energy**: -8.32 eV/f.u.

abc: 8.581 4.095 9.708
angles: 90.00 92.94 90.00
Space group P2_1/m (No. 11)
Inequivalent atoms, fractional coordinates:
Tb 0.064 0.250 0.185
Si 0.142 0.250 0.629
Si 0.281 0.750 0.992
Si 0.430 0.250 0.330
Pt 0.116 0.750 0.460
Pt 0.185 0.250 0.888
Pt 0.287 0.750 0.721
Pt 0.313 0.750 0.240
Pt 0.419 0.250 0.571
Pt 0.446 0.250 0.081


VASP calculation (PBE-GGA) on a relaxed structure of Tb3Si2Pt9.

**Calculated volume**: 18.1 A^3/atom
**DOS at the Fermi energy**: 0.40 states/eV/atom
**Raw formation energy**: -13.84 eV/f.u.

abc: 6.3846 6.3846 14.3714
angles: 90.00 90.00 120.00
Space group P6_3/mmc (No. 194)
Inequivalent atoms, fractional coordinates:
Tb 0.0000 0.0000 0.2500
Tb 0.3333 0.6667 0.0718
Si 0.3333 0.6667 0.6570
Pt 0.0406 0.5203 0.2500
Pt 0.1476 0.2951 0.5802


VASP calculation (PBE-GGA) on a relaxed structure of Tb3Si6Pt20.

**Calculated volume**: 16.4 A^3/atom
**DOS at the Fermi energy**: 0.69 states/eV/atom
**Raw formation energy**: -23.71 eV/f.u.

abc: 12.379 12.379 12.379
angles: 90.00 90.00 90.00
Space group Fm-3m (No. 225)
Inequivalent atoms, fractional coordinates:
Tb 0.000 0.000 0.000
Tb 0.250 0.250 0.250
Si 0.000 0.000 0.267
Pt 0.000 0.173 0.173
Pt 0.116 0.116 0.384


VASP calculation (PBE-GGA) on a relaxed structure of Tb3Si4Pt.

**Calculated volume**: 22.1 A^3/atom
**DOS at the Fermi energy**: 0.48 states/eV/atom
**Raw formation energy**: -5.84 eV/f.u.

abc: 4.313 5.668 14.479
angles: 90.00 90.00 90.00
Space group Immm (No. 71)
Inequivalent atoms, fractional coordinates:
Tb 0.000 0.000 0.000
Tb 0.000 0.500 0.192
Si 0.000 0.293 0.379
Pt 0.000 0.000 0.500


VASP calculation (PBE-GGA) on a relaxed structure of Tb3SiPt2.

**Calculated volume**: 23.2 A^3/atom
**DOS at the Fermi energy**: 0.84 states/eV/atom
**Raw formation energy**: -6.17 eV/f.u.

abc: 11.599 4.094 11.709
angles: 90.00 90.00 90.00
Space group Pnma (No. 62)
Inequivalent atoms, fractional coordinates:
Tb 0.056 0.250 0.120
Tb 0.119 0.750 0.559
Tb 0.199 0.250 0.809
Si 0.124 0.250 0.368
Pt 0.021 0.750 0.309
Pt 0.186 0.750 0.986


VASP calculation (PBE-GGA) on a relaxed structure of TbSi2Pt5.

**Calculated volume**: 16.8 A^3/atom
**DOS at the Fermi energy**: 0.43 states/eV/atom
**Raw formation energy**: -7.30 eV/f.u.

abc: 3.907 7.057 9.742
angles: 90.00 90.00 90.00
Space group Immm (No. 71)
Inequivalent atoms, fractional coordinates:
Tb 0.000 0.000 0.000
Si 0.000 0.500 0.248
Pt 0.000 0.202 0.353
Pt 0.000 0.500 0.000


VASP calculation (PBE-GGA) on a relaxed structure of TbSi2Pt4.

**Calculated volume**: 16.8 A^3/atom
**DOS at the Fermi energy**: 0.50 states/eV/atom
**Raw formation energy**: -6.32 eV/f.u.

abc: 16.681 4.203 6.698
angles: 90.00 90.00 90.00
Space group Pnma (No. 62)
Inequivalent atoms, fractional coordinates:
Tb 0.142 0.250 0.037
Si 0.035 0.750 0.246
Si 0.207 0.250 0.593
Pt 0.032 0.750 0.871
Pt 0.064 0.250 0.492
Pt 0.171 0.750 0.373
Pt 0.215 0.750 0.788


VASP calculation (PBE-GGA) on a relaxed structure of Tb2Si3Pt3.

**Calculated volume**: 20.6 A^3/atom
**DOS at the Fermi energy**: 0.74 states/eV/atom
**Raw formation energy**: 2.84 eV/f.u.

abc: 2.843 2.843 20.419
angles: 90.00 90.00 90.00
Space group P4/mmm (No. 123)
Inequivalent atoms, fractional coordinates:
Tb 0.000 0.000 0.248
Si 0.000 0.000 0.000
Si 0.000 0.000 0.386
Pt 0.000 0.000 0.113
Pt 0.000 0.000 0.500


VASP calculation (PBE-GGA) on a relaxed structure of TbSiPt2.

**Calculated volume**: 19.1 A^3/atom
**DOS at the Fermi energy**: 0.65 states/eV/atom
**Raw formation energy**: -4.00 eV/f.u.

abc: 4.1830 4.1830 15.1510
angles: 90.00 90.00 120.00
Space group R-3m (No. 166, hexagonal axes)
Inequivalent atoms, fractional coordinates:
Tb 0.0000 0.0000 0.0000
Si 0.0000 0.0000 0.5000
Pt 0.0000 0.0000 0.2118


VASP calculation (PBE-GGA) on a relaxed structure of TbSi2Pt7.

**Calculated volume**: 16.5 A^3/atom
**DOS at the Fermi energy**: 0.27 states/eV/atom
**Raw formation energy**: -8.72 eV/f.u.

abc: 4.043 4.043 20.246
angles: 90.00 90.00 90.00
Space group I4/mmm (No. 139)
Inequivalent atoms, fractional coordinates:
Tb 0.000 0.000 0.000
Si 0.000 0.000 0.323
Pt 0.000 0.000 0.500
Pt 0.000 0.500 0.108
Pt 0.000 0.500 0.250


VASP calculation (PBE-GGA) on a relaxed structure of Tb2Si4TcPt3.

**Calculated volume**: 17.3 A^3/atom
**DOS at the Fermi energy**: 0.60 states/eV/atom
**Raw formation energy**: -10.36 eV/f.u.

abc: 4.191 4.191 9.873
angles: 90.00 90.00 90.00
Space group P-4m2 (No. 115)
Inequivalent atoms, fractional coordinates:
Tb 0.000 0.500 0.246
Si 0.000 0.000 0.000
Si 0.000 0.500 0.628
Si 0.500 0.500 0.000
Tc 0.000 0.000 0.500
Pt 0.000 0.500 0.874
Pt 0.500 0.500 0.500


VASP calculation (PBE-GGA) on a relaxed structure of TbTh2Si3Pt4.

**Calculated volume**: 19.9 A^3/atom
**DOS at the Fermi energy**: 0.67 states/eV/atom
**Raw formation energy**: -10.50 eV/f.u.

abc: 4.246 4.246 11.044
angles: 90.00 90.00 90.00
Space group P-4m2 (No. 115)
Inequivalent atoms, fractional coordinates:
Tb 0.000 0.000 0.000
Th 0.000 0.500 0.724
Si 0.000 0.500 0.380
Si 0.500 0.500 0.000
Pt 0.000 0.000 0.500
Pt 0.000 0.500 0.163
Pt 0.500 0.500 0.500


VASP calculation (PBE-GGA) on a relaxed structure of TbTm2Si2Pt7.

**Calculated volume**: 18.3 A^3/atom
**DOS at the Fermi energy**: 0.36 states/eV/atom
**Raw formation energy**: -13.36 eV/f.u.

abc: 5.713 5.661 13.772
angles: 90.00 99.22 90.00
Space group C2/m (No. 12)
Inequivalent atoms, fractional coordinates:
Tb 0.000 0.000 0.000
Tm 0.124 0.000 0.357
Si 0.102 0.500 0.261
Pt 0.000 0.500 0.000
Pt 0.142 0.500 0.431
Pt 0.185 0.250 0.836


VASP calculation (PBE-GGA) on a relaxed structure of Tb2USi3Pt4.

**Calculated volume**: 19.3 A^3/atom
**DOS at the Fermi energy**: 1.18 states/eV/atom
**Raw formation energy**: -9.10 eV/f.u.

abc: 4.200 4.200 10.956
angles: 90.00 90.00 90.00
Space group P-4m2 (No. 115)
Inequivalent atoms, fractional coordinates:
Tb 0.000 0.500 0.225
U 0.000 0.000 0.500
Si 0.000 0.500 0.879
Si 0.500 0.500 0.500
Pt 0.000 0.000 0.000
Pt 0.000 0.500 0.664
Pt 0.500 0.500 0.000